An optimized crystal structure of Ir2OsPbCl, computed with PBE.

abc: 5.0850 5.0850 5.1709
angles: 90.00 90.00 90.00
Last column: nearest neighbours and their distance in Å.
Space group P4/mmm (No. 123)
Inequivalent atoms, fractional coordinates:
1 Ir 0.0000 0.5000 0.0000 [2 per cell]  2 Pb 2.54
2 Os 0.0000 0.0000 0.5000 [1 per cell]  2 Pb 2.59
3 Pb 0.0000 0.0000 0.0000 [1 per cell]  4 Ir 2.54, 2 Os 2.59
4 Cl 0.5000 0.5000 0.5000 [1 per cell]  4 Os 3.60, 8 Ir 3.63

An optimized crystal structure of Pm8IrOs3Cl4, computed with PBE.

abc: 8.1565 8.1565 22.5485
angles: 90.00 90.00 120.00
Last column: nearest neighbours and their distance in Å.
Space group R-3m (No. 166, hexagonal axes)
Inequivalent atoms, fractional coordinates:
1 Pm 0.0000 0.0000 0.2356 [6 per cell]  3 Os 2.82
2 Pm 0.0040 0.5020 0.7650 [18 per cell]  2 Os 2.80, 1 Ir 2.84
3 Ir 0.0000 0.0000 0.5000 [3 per cell]  6 Pm 2.84
4 Os 0.0000 0.5000 0.5000 [9 per cell]  6 Pm 2.80-2.82
5 Cl 0.0000 0.0000 0.0000 [3 per cell]  6 Pm 3.21
6 Cl 0.0000 0.5000 0.0000 [9 per cell]  6 Pm 3.22-3.24

An optimized crystal structure of Pr8Ir3OsCl4, computed with PBE.

abc: 8.3002 8.3002 22.8578
angles: 90.00 90.00 120.00
Last column: nearest neighbours and their distance in Å.
Space group R-3m (No. 166, hexagonal axes)
Inequivalent atoms, fractional coordinates:
1 Pr 0.0000 0.0000 0.2341 [6 per cell]  3 Ir 2.85
2 Pr 0.0041 0.5021 0.2350 [18 per cell]  1 Os 2.84, 2 Ir 2.87
3 Ir 0.0000 0.5000 0.5000 [9 per cell]  6 Pr 2.85-2.87
4 Os 0.0000 0.0000 0.5000 [3 per cell]  6 Pr 2.84
5 Cl 0.0000 0.0000 0.0000 [3 per cell]  6 Pr 3.31
6 Cl 0.0000 0.5000 0.0000 [9 per cell]  6 Pr 3.27-3.30

An optimized crystal structure of Pr8IrOs3Cl4, computed with PBE.

abc: 8.2816 8.2816 22.8019
angles: 90.00 90.00 120.00
Last column: nearest neighbours and their distance in Å.
Space group R-3m (No. 166, hexagonal axes)
Inequivalent atoms, fractional coordinates:
1 Pr 0.0000 0.0000 0.2358 [6 per cell]  3 Os 2.86
2 Pr 0.0041 0.5020 0.7649 [18 per cell]  2 Os 2.84, 1 Ir 2.88
3 Ir 0.0000 0.0000 0.5000 [3 per cell]  6 Pr 2.88
4 Os 0.0000 0.5000 0.5000 [9 per cell]  6 Pr 2.84-2.86
5 Cl 0.0000 0.0000 0.0000 [3 per cell]  6 Pr 3.25
6 Cl 0.0000 0.5000 0.0000 [9 per cell]  6 Pr 3.27-3.29

Calculated values (g/cm3) of mass density for the records, taken in order: 10.15; 7.92; 7.44; 7.47.
Calculated values (eV/atom) of calculated total energy for the records, taken in order: -4.255; -6.346; -6.289; -6.343.
Calculated values (eV/atom) of formation energy (no corrections) for the records, taken in order: 2.647; -0.850; -1.075; -0.833.